This record from Alexandria describes crystalline SnBiPd5 at its relaxed geometry. The functional is PBE.

Cell and atoms, written as extended XYZ:
```
7
Lattice="4.142 0.000 0.000 0.000 4.142 0.000 0.000 0.000 7.550" Properties=species:S:1:pos:R:3 pbc="T T T"
Sn 0.000 0.000 0.000
Bi 2.071 2.071 3.775
Pd 0.000 0.000 3.775
Pd 0.000 2.071 1.698
Pd 0.000 2.071 5.852
Pd 2.071 0.000 1.698
Pd 2.071 0.000 5.852
```

## Properties
- raw total energy (hartree per atom) = -0.1901
- calculated volume (Å³/atom) = 18.5
- energy of formation from the pure elements (eV per formula unit) = -2.36
- space-group type = P4/mmm, No. 123